SmRh3C at its PBEsol-relaxed geometry, computed with SCAN.

Calculated values
Energy of formation (eV per atom): -0.506
SG: Pm-3m, No. 221
Total moment (μB per cell): 0.000

Lattice parameters (Å, degrees): 4.150 4.150 4.150 90.00 90.00 90.00
Sites, in units of the cell vectors:
Sm  0.000  0.000  0.000
Rh  0.500  0.500  0.000
Rh  0.500  0.000  0.500
C  0.500  0.500  0.500
Rh  0.000  0.500  0.500